(1)
DFT (GGA-PBE) results for CrCd2Ir after structural relaxation.

For the calculated formation energy, the calculation gives 0.272 eV per atom.

The structure belongs to space group C2/m (No. 12); the cell edges are 9.660, 3.018 and 4.852 Å and the angles 90.00°, 102.21° and 90.00°. The asymmetric unit holds Cr at (0.000, 0.000, 0.000), Cd at (0.246, 0.000, 0.746) and Ir at (0.000, 0.500, 0.500).



(2)
DFT (GGA-PBE) results for Li2LaSnCl after structural relaxation.

As for the raw formation energy: 0.642 eV per atom.

The structure belongs to space group P4/mmm (No. 123); the cell edges are 6.682, 6.682 and 5.811 Å and the angles 90.00°, 90.00° and 90.00°. The asymmetric unit holds Li at (0.000, 0.500, 0.000), La at (0.000, 0.000, 0.000), Sn at (0.000, 0.000, 0.500) and Cl at (0.500, 0.500, 0.500).



(3)
DFT (GGA-PBE) results for Li2ZnAgH after structural relaxation.

Its electronic total energy is -2.390 eV/atom.

The structure belongs to space group P4/mmm (No. 123); the cell edges are 4.028, 4.028 and 3.937 Å and the angles 90.00°, 90.00° and 90.00°. The asymmetric unit holds Li at (0.000, 0.500, 0.000), Zn at (0.000, 0.000, 0.500), Ag at (0.500, 0.500, 0.500) and H at (0.500, 0.500, 0.000).



(4)
DFT (GGA-PBE) results for YTmCuSn after structural relaxation.

For the calculated formation energy, the calculation gives -0.430 eV per atom.

The structure belongs to space group F-43m (No. 216); the cell edges are 7.232, 7.232 and 7.232 Å and the angles 90.00°, 90.00° and 90.00°. The asymmetric unit holds Y at (0.000, 0.000, 0.000), Tm at (0.000, 0.000, 0.500), Cu at (0.250, 0.250, 0.750) and Sn at (0.250, 0.250, 0.250).



(5)
DFT (GGA-PBE) results for KCo4Ir after structural relaxation.

For the calculated formation energy, the calculation gives 0.744 eV per atom.

The structure belongs to space group F-43m (No. 216); the cell edges are 6.999, 6.999 and 6.999 Å and the angles 90.00°, 90.00° and 90.00°. The asymmetric unit holds K at (0.000, 0.000, 0.000), Co at (0.124, 0.124, 0.624) and Ir at (0.250, 0.250, 0.250).



(6)
DFT (GGA-PBE) results for Pa2TlPtO8 after structural relaxation.

As for the raw formation energy: -1.974 eV per atom.

The structure belongs to space group P-3m1 (No. 164); the cell edges are 5.4835, 5.4835 and 7.5805 Å and the angles 90.00°, 90.00° and 120.00°. The asymmetric unit holds Pa at (0.3333, 0.6667, 0.3849), Tl at (0.0000, 0.0000, 0.0000), Pt at (0.0000, 0.0000, 0.5000), O at (0.1799, 0.3597, 0.6311) and O at (0.3333, 0.6667, 0.1383).



(7)
DFT (GGA-PBE) results for Mn4AgIr after structural relaxation.

For the calculated formation energy, the calculation gives 0.281 eV per atom.

The structure belongs to space group F-43m (No. 216); the cell edges are 6.749, 6.749 and 6.749 Å and the angles 90.00°, 90.00° and 90.00°. The asymmetric unit holds Mn at (0.125, 0.125, 0.125), Ag at (0.250, 0.250, 0.750) and Ir at (0.000, 0.000, 0.500).



(8)
DFT (GGA-PBE) results for Ac4GaAg3 after structural relaxation.

For the calculated formation energy, the calculation gives -0.303 eV per atom.

The structure belongs to space group Pmm2 (No. 25); the cell edges are 4.303, 4.941 and 11.948 Å and the angles 90.00°, 90.00° and 90.00°. The asymmetric unit holds Ac at (0.000, 0.000, 0.000), Ac at (0.000, 0.500, 0.282), Ac at (0.500, 0.000, 0.494), Ac at (0.500, 0.500, 0.780), Ga at (0.500, 0.000, 0.216), Ag at (0.000, 0.000, 0.713), Ag at (0.000, 0.500, 0.565) and Ag at (0.500, 0.500, 0.066).



(9)
DFT (GGA-PBE) results for SrAsP2 after structural relaxation.

For the calculated formation energy, the calculation gives -0.425 eV per atom.

The structure belongs to space group P2/m (No. 10); the cell edges are 4.747, 4.076 and 5.180 Å and the angles 90.00°, 99.61° and 90.00°. The asymmetric unit holds Sr at (0.000, 0.000, 0.000), As at (0.500, 0.000, 0.500) and P at (0.403, 0.500, 0.796).



(10)
DFT (GGA-PBE) results for LiMn2Pb after structural relaxation.

For the calculated formation energy, the calculation gives 0.346 eV per atom.

The structure belongs to space group F-43m (No. 216); the cell edges are 6.547, 6.547 and 6.547 Å and the angles 90.00°, 90.00° and 90.00°. The asymmetric unit holds Li at (0.000, 0.000, 0.000), Mn at (0.000, 0.000, 0.500), Mn at (0.250, 0.250, 0.250) and Pb at (0.250, 0.250, 0.750).